(1)
DFT (PBE) results for PrZn11Ag after structural relaxation.

## Properties
DFT formation energy, eV/f.u.: -2.3
Energy, eV for the cell shown: -47.82
Crystal system: monoclinic

Cell and atoms, written as CIF:
```
data_PrZn11Ag
_chemical_formula_sum 'Pr2 Zn22 Ag2'
_cell_length_a 5.331
_cell_length_b 12.743
_cell_length_c 6.875
_cell_angle_alpha 90.00
_cell_angle_beta 112.43
_cell_angle_gamma 90.00
_space_group_name_H-M_alt 'C 1 2/m 1'
_space_group_IT_number 12
_space_group_name_Hall '-C 2y'
loop_
_atom_site_label
_atom_site_type_symbol
_atom_site_fract_x
_atom_site_fract_y
_atom_site_fract_z
Pr1 Pr 0.000 0.000 0.000
Zn1 Zn 0.000 0.500 0.500
Zn2 Zn 0.104 0.388 0.219
Zn3 Zn 0.181 0.179 0.354
Zn4 Zn 0.250 0.250 0.000
Ag1 Ag 0.000 0.000 0.500
```

***

(2)
DFT (PBE) results for Pr2Zn6Ag3 after structural relaxation.

## Properties
DFT formation energy, eV/f.u.: -1.7
Energy, eV for the cell shown: -54.85
Crystal system: orthorhombic

Cell and atoms, written as CIF:
```
data_Pr2Zn6Ag3
_chemical_formula_sum 'Pr4 Zn12 Ag6'
_cell_length_a 9.927
_cell_length_b 11.413
_cell_length_c 4.076
_cell_angle_alpha 90.00
_cell_angle_beta 90.00
_cell_angle_gamma 90.00
_space_group_name_H-M_alt 'C m m m'
_space_group_IT_number 65
_space_group_name_Hall '-C 2 2'
loop_
_atom_site_label
_atom_site_type_symbol
_atom_site_fract_x
_atom_site_fract_y
_atom_site_fract_z
Pr1 Pr 0.000 0.211 0.000
Zn1 Zn 0.118 0.000 0.500
Zn2 Zn 0.200 0.345 0.500
Ag1 Ag 0.000 0.500 0.500
Ag2 Ag 0.207 0.500 0.000
```

***

(3)
DFT (PBE) results for Pr4Zn3Ag after structural relaxation.

## Properties
DFT formation energy, eV/f.u.: -2.0
Energy, eV for the cell shown: -27.79
Crystal system: orthorhombic

Cell and atoms, written as CIF:
```
data_Pr4Zn3Ag
_chemical_formula_sum 'Pr4 Zn3 Ag1'
_cell_length_a 3.715
_cell_length_b 4.646
_cell_length_c 12.202
_cell_angle_alpha 90.00
_cell_angle_beta 90.00
_cell_angle_gamma 90.00
_space_group_name_H-M_alt 'P m m 2'
_space_group_IT_number 25
_space_group_name_Hall 'P 2 -2'
loop_
_atom_site_label
_atom_site_type_symbol
_atom_site_fract_x
_atom_site_fract_y
_atom_site_fract_z
Pr1 Pr 0.000 0.000 0.000
Pr2 Pr 0.000 0.500 0.300
Pr3 Pr 0.500 0.000 0.494
Pr4 Pr 0.500 0.500 0.802
Zn1 Zn 0.000 0.500 0.581
Zn2 Zn 0.500 0.000 0.213
Zn3 Zn 0.500 0.500 0.084
Ag1 Ag 0.000 0.000 0.713
```

***

(4)
DFT (PBE) results for Pr12Zn6Ag after structural relaxation.

## Properties
DFT formation energy, eV/f.u.: -1.3
Energy, eV for the cell shown: -207.54
Crystal system: trigonal

Cell and atoms, written as CIF:
```
data_Pr12Zn6Ag
_chemical_formula_sum 'Pr36 Zn18 Ag3'
_cell_length_a 14.9374
_cell_length_b 14.9374
_cell_length_c 8.3792
_cell_angle_alpha 90.00
_cell_angle_beta 90.00
_cell_angle_gamma 120.00
_space_group_name_H-M_alt 'R -3'
_space_group_IT_number 148
_space_group_name_Hall '-R 3'
loop_
_atom_site_label
_atom_site_type_symbol
_atom_site_fract_x
_atom_site_fract_y
_atom_site_fract_z
Pr1 Pr 0.0186 0.1585 0.3421
Pr2 Pr 0.0705 0.4880 0.6503
Zn1 Zn 0.0082 0.7447 0.3472
Ag1 Ag 0.0000 0.0000 0.0000
```